CrNi2Os GGA-PBE optimized geometry; relative energy among the computed polymorphs = 0.0 kJ/mol of atoms; M_tot = 0.0 μB/cell; ΔH_f (0 K) = 0.03 eV/atom; volume = 95 Å³ per cell
1.0
3.6619 0.0000 0.0000
0.0000 3.6619 0.0000
0.0000 0.0000 7.1157
Cr Ni Os
2 4 2
direct
0.0000 0.0000 0.0000
0.5000 0.5000 0.5000
0.0000 0.0000 0.5000
0.0000 0.5000 0.2500
0.5000 0.0000 0.7500
0.5000 0.5000 0.0000
0.0000 0.5000 0.7500
0.5000 0.0000 0.2500


Cs2CuHgBr6 GGA-PBE optimized geometry; M_tot = 1.0 μB/cell; raw formation energy = -0.96 eV/atom; volume = 360 Å³ per cell
1.0
-3.9711 3.9711 5.7034
3.9711 -3.9711 5.7034
3.9711 3.9711 -5.7034
Cs Cu Hg Br
2 1 1 6
direct
0.2500 0.7500 0.5000
0.7500 0.2500 0.5000
0.0000 0.0000 0.0000
0.5000 0.5000 0.0000
0.2185 0.2185 0.4370
0.2185 0.7815 0.0000
0.2788 0.2788 0.0000
0.7212 0.7212 0.0000
0.7815 0.2185 0.0000
0.7815 0.7815 0.5630


Nd3PbSe2 GGA-PBE optimized geometry; M_tot = 0.0 μB/cell; raw formation energy = -1.42 eV/atom; volume = 351 Å³ per cell
1.0
4.3792 0.0000 0.0000
0.0000 6.1689 0.0000
0.0000 0.0000 13.0078
Nd Pb Se
6 2 4
direct
0.0000 0.0000 0.0000
0.0000 0.0000 0.3248
0.0000 0.0000 0.6752
0.5000 0.5000 0.1752
0.5000 0.5000 0.5000
0.5000 0.5000 0.8248
0.0000 0.5000 0.0000
0.5000 0.0000 0.5000
0.0000 0.5000 0.3364
0.0000 0.5000 0.6636
0.5000 0.0000 0.1636
0.5000 0.0000 0.8364


Electronic total energy in eV per atom, matching the order above: -8.08 -2.57 -5.58